Record 1
A geometry-optimized ZnH2Pb structure. Source: the Alexandria database, functional GGA-PBE.

POSCAR file:
```
ZnH2Pb
1.0
1.626 0.939 5.924
-1.626 0.939 5.924
0.000 -1.878 5.924
Zn H Pb
1 2 1
Direct
0.000 0.000 0.000
0.288 0.288 0.288
0.712 0.712 0.712
0.500 0.500 0.500
```

## Properties
D(E_F), states/eV/cell: 0.91
Energy above the most stable polymorph in this dataset, eV/atom: 0.145

***

Record 2
A geometry-optimized Li4V structure. Source: the Alexandria database, functional GGA-PBE.

POSCAR file:
```
Li4V
1.0
5.082 0.000 0.000
0.000 5.082 0.000
0.000 0.000 5.082
Li V
4 1
Direct
0.000 0.000 0.000
0.000 0.500 0.500
0.500 0.000 0.500
0.500 0.500 0.000
0.500 0.500 0.500
```

## Properties
D(E_F), states/eV/cell: 4.43
Energy of formation, kJ per mole of atoms: 80.7